4
Lattice="0.0000 3.7353 3.7353 3.7353 0.0000 3.7353 3.7353 3.7353 0.0000" Properties=species:S:1:pos:R:3 comment="AcLuZnAu (PBE, relaxed)" delta_e_f_ev_per_fu=-1.9 magmom_total_mub_per_cell=0.00 dft_energy_ev_per_fu=-15.110 pbc="T T T"
Ac 0.0000 0.0000 0.0000
Lu 3.7353 3.7353 3.7353
Zn 5.6029 5.6029 5.6029
Au 1.8676 1.8676 1.8676

=====

10
Lattice="3.2629 -5.4042 0.0000 3.2629 5.4042 0.0000 0.0000 0.0000 5.7535" Properties=species:S:1:pos:R:3 comment="LiCaGa3 (PBE, relaxed)" delta_e_f_ev_per_fu=-1.7 relative_energy_mev_per_atom=0 magmom_total_mub_per_cell=0.00 dft_energy_ev_per_fu=-14.711 pbc="T T T"
Li 3.2629 4.4041 4.3152
Li 3.2629 -4.4041 1.4384
Ca 3.2629 2.8699 1.4384
Ca 3.2629 -2.8699 4.3152
Ga 1.9223 0.0000 0.0000
Ga 1.9223 0.0000 2.8768
Ga 3.2629 1.8332 4.3152
Ga 3.2629 -1.8332 1.4384
Ga 4.6035 0.0000 0.0000
Ga 4.6035 0.0000 2.8768

=====

What did the second record say?
10
Lattice="3.2629 -5.4042 0.0000 3.2629 5.4042 0.0000 0.0000 0.0000 5.7535" Properties=species:S:1:pos:R:3 comment="LiCaGa3 (PBE, relaxed)" delta_e_f_ev_per_fu=-1.7 relative_energy_mev_per_atom=0 magmom_total_mub_per_cell=0.00 dft_energy_ev_per_fu=-14.711 pbc="T T T"
Li 3.2629 4.4041 4.3152
Li 3.2629 -4.4041 1.4384
Ca 3.2629 2.8699 1.4384
Ca 3.2629 -2.8699 4.3152
Ga 1.9223 0.0000 0.0000
Ga 1.9223 0.0000 2.8768
Ga 3.2629 1.8332 4.3152
Ga 3.2629 -1.8332 1.4384
Ga 4.6035 0.0000 0.0000
Ga 4.6035 0.0000 2.8768